P.
Computed, not measured: a geometry-optimized ScAlCdPd structure at the PBE level of DFT.

abc: 4.6551 4.6551 4.6551
angles: 60.00 60.00 60.00
Element x y z (fractional)
Al 0.2500 0.2500 0.2500
Cd 0.5000 0.5000 0.5000
Pd 0.0000 0.0000 0.0000
Sc 0.7500 0.7500 0.7500

---

Q.
Computed, not measured: a geometry-optimized ScAlCdPd structure at the PBE level of DFT.

abc: 4.6520 4.6520 4.6520
angles: 60.00 60.00 60.00
Element x y z (fractional)
Al 0.0000 0.0000 0.0000
Cd 0.5000 0.5000 0.5000
Pd 0.2500 0.2500 0.2500
Sc 0.7500 0.7500 0.7500

---

R.
Computed, not measured: a geometry-optimized ScAlCdPd structure at the PBE level of DFT.

abc: 4.6793 4.6793 4.6793
angles: 60.00 60.00 60.00
Element x y z (fractional)
Al 0.5000 0.5000 0.5000
Cd 0.2500 0.2500 0.2500
Pd 0.0000 0.0000 0.0000
Sc 0.7500 0.7500 0.7500

---

Preferred: P; penalty for the next structure: 67 meV per atom.

---

P.
Computed, not measured: a geometry-optimized TbAl2Cd structure at the PBE level of DFT.

abc: 6.2428 6.2428 4.8466
angles: 90.00 90.00 117.64
Element x y z (fractional)
Al 0.1472 0.3010 0.2500
Al 0.6990 0.8528 0.2500
Al 0.3010 0.1472 0.7500
Al 0.8528 0.6990 0.7500
Cd 0.1629 0.8371 0.2500
Cd 0.8371 0.1629 0.7500
Tb 0.6579 0.3421 0.2500
Tb 0.3421 0.6579 0.7500

---

Q.
Computed, not measured: a geometry-optimized TbAl2Cd structure at the PBE level of DFT.

abc: 4.8095 6.4084 6.4084
angles: 122.01 90.00 90.00
Element x y z (fractional)
Al 0.2500 0.8426 0.1402
Al 0.2500 0.8360 0.6915
Al 0.7500 0.6915 0.8360
Al 0.7500 0.1402 0.8426
Cd 0.2500 0.3201 0.1631
Cd 0.7500 0.1631 0.3201
Tb 0.7500 0.6770 0.3294
Tb 0.2500 0.3294 0.6770

---

Preferred: Q; penalty for the next structure: 8 meV per atom.

---

P.
Computed, not measured: a geometry-optimized Al5Co8 structure at the PBE level of DFT.

abc: 8.7214 8.7214 8.7214
angles: 31.24 31.24 31.24
Site moments in Bohr magnetons follow the coordinates.
Element x y z (fractional)
Al 0.0000 0.0000 0.0000  -0.03
Al 0.3482 0.3482 0.3482  -0.01
Al 0.4506 0.4506 0.4506  -0.01
Al 0.5494 0.5494 0.5494  -0.01
Al 0.6518 0.6518 0.6518  -0.01
Co 0.0921 0.5819 0.0921  1.07
Co 0.5819 0.0921 0.0921  1.02
Co 0.1629 0.1629 0.1629  1.69
Co 0.9079 0.9079 0.4181  1.04
Co 0.0921 0.0921 0.5819  1.04
Co 0.8371 0.8371 0.8371  1.69
Co 0.4181 0.9079 0.9079  1.02
Co 0.9079 0.4181 0.9079  1.07

---

Q.
Computed, not measured: a geometry-optimized Al5Co8 structure at the PBE level of DFT.

abc: 8.5635 8.5635 8.5635
angles: 32.35 32.35 32.35
Site moments in Bohr magnetons follow the coordinates.
Element x y z (fractional)
Al 0.0000 0.0000 0.0000  -0.03
Al 0.1667 0.1667 0.1667  -0.02
Al 0.4445 0.4445 0.4445  -0.03
Al 0.5555 0.5555 0.5555  -0.03
Al 0.8333 0.8333 0.8333  -0.02
Co 0.5832 0.0890 0.0890  0.87
Co 0.0890 0.5832 0.0890  1.04
Co 0.3421 0.3421 0.3421  1.56
Co 0.9110 0.9110 0.4168  0.97
Co 0.0890 0.0890 0.5832  0.97
Co 0.6579 0.6579 0.6579  1.56
Co 0.9110 0.4168 0.9110  1.04
Co 0.4168 0.9110 0.9110  0.87

---

R.
Computed, not measured: a geometry-optimized Al5Co8 structure at the PBE level of DFT.

abc: 8.4340 8.4340 8.4340
angles: 32.90 32.90 32.90
Site moments in Bohr magnetons follow the coordinates.
Element x y z (fractional)
Al 0.0000 0.0000 0.0000  -0.02
Al 0.1652 0.1652 0.1652  -0.01
Al 0.3520 0.3520 0.3520  -0.01
Al 0.6480 0.6480 0.6480  -0.01
Al 0.8348 0.8348 0.8348  -0.01
Co 0.5796 0.0916 0.0916  0.87
Co 0.0916 0.5796 0.0916  1.13
Co 0.9084 0.9084 0.4204  1.01
Co 0.4542 0.4542 0.4542  1.55
Co 0.5458 0.5458 0.5458  1.55
Co 0.0916 0.0916 0.5796  1.01
Co 0.9084 0.4204 0.9084  1.13
Co 0.4204 0.9084 0.9084  0.87

---

Preferred: R; penalty for the next structure: 31 meV per atom.

---

P.
Computed, not measured: a geometry-optimized Al16Co13 structure at the PBE level of DFT.

abc: 7.7894 7.7894 7.7894
angles: 109.47 109.47 109.47
Site moments in Bohr magnetons follow the coordinates.
Element x y z (fractional)
Al 0.6444 0.0000 0.0000  -0.01
Al 0.4024 0.2065 0.0000  -0.01
Al 0.2065 0.4024 0.0000  -0.01
Al 0.0000 0.6444 0.0000  -0.01
Al 0.7935 0.7935 0.1959  -0.01
Al 0.4024 0.0000 0.2065  -0.01
Al 0.0000 0.4024 0.2065  -0.01
Al 0.3556 0.3556 0.3556  -0.01
Al 0.2065 0.0000 0.4024  -0.01
Al 0.0000 0.2065 0.4024  -0.01
Al 0.8041 0.5976 0.5976  -0.01
Al 0.5976 0.8041 0.5976  -0.01
Al 0.0000 0.0000 0.6444  0.00
Al 0.7935 0.1959 0.7935  -0.01
Al 0.1959 0.7935 0.7935  -0.01
Al 0.5976 0.5976 0.8041  -0.01
Co 0.0000 0.0000 0.0000  -0.12
Co 0.6954 0.4130 0.0000  0.31
Co 0.4130 0.6954 0.0000  0.31
Co 0.5870 0.5870 0.2824  0.30
Co 0.7176 0.3046 0.3046  0.31
Co 0.3046 0.7176 0.3046  0.31
Co 0.6954 0.0000 0.4130  0.29
Co 0.0000 0.6954 0.4130  0.28
Co 0.5870 0.2824 0.5870  0.32
Co 0.2824 0.5870 0.5870  0.32
Co 0.4130 0.0000 0.6954  0.30
Co 0.0000 0.4130 0.6954  0.28
Co 0.3046 0.3046 0.7176  0.30

---

Q.
Computed, not measured: a geometry-optimized Al16Co13 structure at the PBE level of DFT.

abc: 7.7826 7.7826 7.7826
angles: 109.47 109.47 109.47
Site moments in Bohr magnetons follow the coordinates.
Element x y z (fractional)
Al 0.6905 0.0000 0.0000  0.00
Al 0.6905 0.4079 0.0000  -0.01
Al 0.4079 0.6905 0.0000  -0.01
Al 0.0000 0.6905 0.0000  0.00
Al 0.5921 0.5921 0.2825  -0.01
Al 0.3095 0.3095 0.3095  -0.01
Al 0.7175 0.3095 0.3095  -0.01
Al 0.3095 0.7175 0.3095  -0.01
Al 0.6905 0.0000 0.4079  -0.01
Al 0.0000 0.6905 0.4079  -0.01
Al 0.5921 0.2825 0.5921  -0.01
Al 0.2825 0.5921 0.5921  -0.01
Al 0.4079 0.0000 0.6905  -0.01
Al 0.0000 0.4079 0.6905  -0.01
Al 0.0000 0.0000 0.6905  -0.01
Al 0.3095 0.3095 0.7175  -0.01
Co 0.0000 0.0000 0.0000  0.43
Co 0.3776 0.1928 0.0000  0.40
Co 0.1928 0.3776 0.0000  0.39
Co 0.8072 0.8072 0.1849  0.38
Co 0.3776 0.0000 0.1928  0.40
Co 0.0000 0.3776 0.1928  0.41
Co 0.1928 0.0000 0.3776  0.37
Co 0.0000 0.1928 0.3776  0.39
Co 0.8151 0.6224 0.6224  0.40
Co 0.6224 0.8151 0.6224  0.40
Co 0.8072 0.1849 0.8072  0.39
Co 0.1849 0.8072 0.8072  0.41
Co 0.6224 0.6224 0.8151  0.40

---

Preferred: Q; penalty for the next structure: 34 meV per atom.

---

P.
Computed, not measured: a geometry-optimized Al9Co4 structure at the PBE level of DFT.

abc: 9.3227 9.3227 9.3227
angles: 30.39 30.39 30.39
Site moments in Bohr magnetons follow the coordinates.
Element x y z (fractional)
Al 0.0000 0.0000 0.0000  0.00
Al 0.5857 0.0915 0.0915  0.00
Al 0.0915 0.5857 0.0915  0.00
Al 0.1668 0.1668 0.1668  -0.01
Al 0.9085 0.9085 0.4143  0.00
Al 0.0915 0.0915 0.5857  0.00
Al 0.8332 0.8332 0.8332  -0.01
Al 0.9085 0.4143 0.9085  0.00
Al 0.4143 0.9085 0.9085  0.00
Co 0.3394 0.3394 0.3394  0.74
Co 0.4498 0.4498 0.4498  -0.34
Co 0.5502 0.5502 0.5502  -0.34
Co 0.6606 0.6606 0.6606  0.74

---

Q.
Computed, not measured: a geometry-optimized Al9Co4 structure at the PBE level of DFT.

abc: 8.7584 8.7584 8.7584
angles: 33.75 33.75 33.75
Site moments in Bohr magnetons follow the coordinates.
Element x y z (fractional)
Al 0.0000 0.0000 0.0000  0.00
Al 0.5761 0.0766 0.0766  -0.01
Al 0.0766 0.5761 0.0766  0.00
Al 0.3528 0.3528 0.3528  0.00
Al 0.9234 0.9234 0.4239  0.00
Al 0.0766 0.0766 0.5761  0.00
Al 0.6472 0.6472 0.6472  0.00
Al 0.9234 0.4239 0.9234  0.00
Al 0.4239 0.9234 0.9234  -0.01
Co 0.1674 0.1674 0.1674  0.56
Co 0.4495 0.4495 0.4495  0.05
Co 0.5505 0.5505 0.5505  0.05
Co 0.8326 0.8326 0.8326  0.56

---

R.
Computed, not measured: a geometry-optimized Al9Co4 structure at the PBE level of DFT.

abc: 8.5787 8.5787 8.5787
angles: 34.73 34.73 34.73
Element x y z (fractional)
Al 0.0000 0.0000 0.0000
Al 0.5784 0.0869 0.0869
Al 0.0869 0.5784 0.0869
Al 0.9131 0.9131 0.4216
Al 0.4512 0.4512 0.4512
Al 0.5488 0.5488 0.5488
Al 0.0869 0.0869 0.5784
Al 0.4216 0.9131 0.9131
Al 0.9131 0.4216 0.9131
Co 0.1678 0.1678 0.1678
Co 0.3533 0.3533 0.3533
Co 0.6467 0.6467 0.6467
Co 0.8322 0.8322 0.8322

---

Preferred: Q; penalty for the next structure: 102 meV per atom.

---

P.
Computed, not measured: a geometry-optimized Al2Co3 structure at the PBE level of DFT.

abc: 8.7751 8.7751 4.6201
angles: 90.00 90.00 90.00
Site moments in Bohr magnetons follow the coordinates.
Element x y z (fractional)
Al 0.1044 0.1044 0.0000  -0.01
Al 0.5545 0.2310 0.0000  -0.03
Al 0.7690 0.4455 0.0000  -0.03
Al 0.2310 0.5545 0.0000  -0.03
Al 0.4455 0.7690 0.0000  -0.03
Al 0.8956 0.8956 0.0000  -0.01
Al 0.2690 0.0545 0.5000  -0.03
Al 0.0545 0.2690 0.5000  -0.03
Al 0.6044 0.3956 0.5000  -0.01
Al 0.3956 0.6044 0.5000  -0.01
Al 0.9455 0.7310 0.5000  -0.03
Al 0.7310 0.9455 0.5000  -0.03
Co 0.3669 0.0320 0.0000  1.07
Co 0.0320 0.3669 0.0000  1.03
Co 0.5000 0.5000 0.0000  0.45
Co 0.9680 0.6331 0.0000  1.03
Co 0.6331 0.9680 0.0000  1.07
Co 0.8140 0.1860 0.2458  1.29
Co 0.1860 0.8140 0.2458  1.28
Co 0.3140 0.3140 0.2542  1.27
Co 0.6860 0.6860 0.2542  1.31
Co 0.0000 0.0000 0.5000  0.46
Co 0.5320 0.1331 0.5000  1.03
Co 0.8669 0.4680 0.5000  1.06
Co 0.1331 0.5320 0.5000  1.06
Co 0.4680 0.8669 0.5000  1.03
Co 0.3140 0.3140 0.7458  1.31
Co 0.6860 0.6860 0.7458  1.27
Co 0.8140 0.1860 0.7542  1.28
Co 0.1860 0.8140 0.7542  1.29

---

Q.
Computed, not measured: a geometry-optimized Al2Co3 structure at the PBE level of DFT.

abc: 5.9439 5.9439 5.3679
angles: 123.62 56.38 120.00
Site moments in Bohr magnetons follow the coordinates.
Element x y z (fractional)
Al 0.6007 0.3993 0.1979  -0.03
Al 0.8993 0.1007 0.3021  -0.03
Al 0.1007 0.8993 0.6979  -0.03
Al 0.3993 0.6007 0.8021  -0.03
Co 0.4984 0.7500 0.2500  0.76
Co 0.2500 0.9984 0.2500  0.77
Co 0.0016 0.5016 0.2500  0.77
Co 0.7500 0.0016 0.7500  0.77
Co 0.5016 0.2500 0.7500  0.76
Co 0.9984 0.4984 0.7500  0.77

---

Preferred: P; penalty for the next structure: 500 meV per atom.